# Rb2V2AgO6 | the Alexandria database | GGA+U | optimized geometry
# * energy: -194.6 eV/cell
# * V: 638 Å³/cell
data_Rb2V2AgO6
_chemical_formula_sum 'Rb6 V6 Ag3 O18'
_symmetry_space_group_name_H-M 'R -3 m'
_symmetry_Int_Tables_number 166
_symmetry_space_group_name_Hall '-R 3 2"'
_cell_length_a 6.2883
_cell_length_b 6.2883
_cell_length_c 18.6442
_cell_angle_alpha 90.00
_cell_angle_beta 90.00
_cell_angle_gamma 120.00
loop_
_atom_site_label
_atom_site_type_symbol
_atom_site_fract_x
_atom_site_fract_y
_atom_site_fract_z
Rb1 Rb 0.0000 0.0000 0.2103
V1 V 0.0000 0.0000 0.4241
Ag1 Ag 0.0000 0.0000 0.0000
O1 O 0.0214 0.5107 0.2513